# Rb2TeI5, relaxed, DFT PBE-GGA
data_Rb2TeI5
_space_group_name_H-M_alt 'I 4 m m'
_space_group_IT_number 107
_space_group_name_Hall 'I 4 -2'
_cell_length_a 8.808
_cell_length_b 8.808
_cell_length_c 10.602
_cell_angle_alpha 90.00
_cell_angle_beta 90.00
_cell_angle_gamma 90.00
loop_
_atom_site_label
_atom_site_fract_x
_atom_site_fract_y
_atom_site_fract_z
Rb1 0.000 0.500 0.000
Te1 0.000 0.000 0.249
I1 0.000 0.000 0.950
I2 0.239 0.239 0.258
# N(E_F) = 0.08 states/eV per atom
# volume = 411.2 Å³/f.u.
# formation energy (no corrections) = -0.742 eV per atom
# total moment = 2.09 μB/cell